# Nb3Os3Ru (GGA-PBE, optimized geometry)
# Total magnetization = 0.0 μB per cell
# Energy = -10.37 eV/atom
data_Nb3Os3Ru
_cell_length_a 8.693
_cell_length_b 8.730
_cell_length_c 6.312
_cell_angle_alpha 90.00
_cell_angle_beta 90.00
_cell_angle_gamma 90.00
_symmetry_space_group_name_H-M 'C m m m'
_symmetry_Int_Tables_number 65
_symmetry_space_group_name_Hall '-C 2 2'
loop_
_atom_site_label
_atom_site_type_symbol
_atom_site_fract_x
_atom_site_fract_y
_atom_site_fract_z
Nb1 Nb 0.000 0.000 0.249
Nb2 Nb 0.250 0.250 0.251
Os1 Os 0.000 0.258 0.000
Os2 Os 0.239 0.500 0.000
Os3 Os 0.243 0.500 0.500
Ru1 Ru 0.000 0.259 0.500

***

# Dy7Ho (GGA-PBE, optimized geometry)
# Total magnetization = 0.0 μB per cell
# E above lowest polymorph = 0.021 eV/atom
data_Dy7Ho
_cell_length_a 3.511
_cell_length_b 11.051
_cell_length_c 12.927
_cell_angle_alpha 90.00
_cell_angle_beta 90.00
_cell_angle_gamma 90.00
_symmetry_space_group_name_H-M 'I m m m'
_symmetry_Int_Tables_number 71
_symmetry_space_group_name_Hall '-I 2 2'
loop_
_atom_site_label
_atom_site_type_symbol
_atom_site_fract_x
_atom_site_fract_y
_atom_site_fract_z
Dy1 Dy 0.000 0.000 0.000
Dy2 Dy 0.000 0.000 0.259
Dy3 Dy 0.000 0.268 0.368
Ho1 Ho 0.000 0.500 0.000

***

# PrIn2Au6 (GGA-PBE, optimized geometry)
# Total magnetization = 0.0 μB per cell
# Energy = -3.66 eV/atom
data_PrIn2Au6
_cell_length_a 3.577
_cell_length_b 8.204
_cell_length_c 13.615
_cell_angle_alpha 90.00
_cell_angle_beta 90.00
_cell_angle_gamma 90.00
_symmetry_space_group_name_H-M 'I m m m'
_symmetry_Int_Tables_number 71
_symmetry_space_group_name_Hall '-I 2 2'
loop_
_atom_site_label
_atom_site_type_symbol
_atom_site_fract_x
_atom_site_fract_y
_atom_site_fract_z
Pr1 Pr 0.000 0.000 0.000
In1 In 0.000 0.500 0.143
Au1 Au 0.000 0.172 0.500
Au2 Au 0.000 0.329 0.323

***

Q: Look up the total magnetization of the second one.
A: 0.0 μB per cell